# Li4Cd5

An optimized crystal structure of Li4Cd5 (PBE-GGA, the Alexandria database).

The energy relative to the elements is -0.197 eV/atom. For the density of states at the Fermi level, the calculation gives 5.8 states/eV/cell. The calculation puts the spin magnetization at 0.000 Bohr magnetons per cell. As for the uncorrected energy: -28.0 eV/cell.

It has space group I4/mmm (No. 139), with a = 9.1212 Å, b = 9.1212 Å, c = 4.3123 Å, α = 90.00°, β = 90.00° and γ = 90.00°. Symmetry generates all atoms from Li at (0.0000, 0.3212, 0.0000), Cd at (0.0000, 0.0000, 0.0000) and Cd at (0.1694, 0.1694, 0.5000).

---

# LiCd4

An optimized crystal structure of LiCd4 (PBE-GGA, the Alexandria database).

The energy relative to the elements is -0.018 eV/atom. For the density of states at the Fermi level, the calculation gives 5.8 states/eV/cell. The calculation puts the spin magnetization at 0.000 Bohr magnetons per cell. As for the uncorrected energy: -22.7 eV/cell.

It has space group I4_1/a (No. 88, origin choice 2), with a = 6.2010 Å, b = 6.2010 Å, c = 11.6330 Å, α = 90.00°, β = 90.00° and γ = 90.00°. Symmetry generates all atoms from Li at (0.0000, 0.2500, 0.1250) and Cd at (0.1691, 0.0256, 0.7054).